This record from Alexandria describes a geometry-optimized MgAlFeOs structure. The functional is PBE.

Cell and atoms, written as POSCAR:
```
MgAlFeOs
1.0
-1.389 2.853 -2.927
-4.174 0.107 -1.098
-2.470 3.322 1.226
Os Mg Fe Al
1 1 1 1
Cartesian
-2.008 1.570 -0.700 Os
-6.024 4.711 -2.100 Mg
0.000 0.000 0.000 Fe
-4.016 3.141 -1.400 Al
```

## Properties
- formation enthalpy at 0 K (eV per atom) = -0.087
- volume (Å³/atom) = 14.22
- space group = No. 216

This record from Alexandria describes a geometry-optimized MgAl2FePt structure. The functional is PBE.

Cell and atoms, written as POSCAR:
```
MgAl2FePt
1.0
4.831 0.000 0.000
0.000 4.597 0.000
0.000 0.000 4.831
Mg Pt Al Fe
1 1 2 1
Cartesian
0.000 0.000 0.000 Mg
0.000 2.299 0.000 Pt
0.000 0.000 2.415 Al
2.415 0.000 0.000 Al
2.415 2.299 2.415 Fe
```

## Properties
- formation enthalpy at 0 K (eV per atom) = 1.140
- volume (Å³/atom) = 21.45
- space group = No. 123

This record from Alexandria describes a geometry-optimized MgAlFeRu structure. The functional is PBE.

Cell and atoms, written as POSCAR:
```
MgAlFeRu
1.0
4.325 0.000 0.000
2.162 3.745 0.000
2.162 1.248 3.531
Ru Al Fe Mg
1 1 1 1
Cartesian
2.162 1.248 0.883 Ru
0.000 0.000 0.000 Al
4.325 2.497 1.766 Fe
6.487 3.745 2.648 Mg
```

## Properties
- formation enthalpy at 0 K (eV per atom) = -0.148
- volume (Å³/atom) = 14.30
- space group = No. 216

The lowest formation enthalpy at 0 K belongs to which entry?
MgAlFeRu

The highest volume belongs to which entry?
MgAl2FePt